[1]
Here is an optimized crystal structure of LaPrNdCd from the Alexandria database. Energies are from PBE-GGA.

energy relative to the lowest polymorph listed for this composition = 124 meV/atom
DFT formation energy = -31 meV per atom
space-group type = F-43m
magnetic moment = 0.000 μB/atom

Unit cell a=5.6644 b=5.6644 c=5.6644 alpha=60.00 beta=60.00 gamma=60.00
With the nearest neighbours (Å) after each atom.
Positions (direct):
La: 0.0000 0.0000 0.0000  4 Cd 3.47, 4 Pr 3.47
Pr: 0.7500 0.7500 0.7500  4 Nd 3.47, 4 La 3.47
Nd: 0.5000 0.5000 0.5000  4 Cd 3.47, 4 Pr 3.47
Cd: 0.2500 0.2500 0.2500  4 Nd 3.47, 4 La 3.47

***

[2]
Here is an optimized crystal structure of Tb5Pr3O12 from the Alexandria database. Energies are from PBE-GGA.

space-group type = Ia-3d
formation energy without anion corrections = -3.316 eV per atom
magnetic moment = 0.000 μB/atom

Unit cell a=11.9314 b=11.9314 c=11.9314 alpha=109.47 beta=109.47 gamma=109.47
With the nearest neighbours (Å) after each atom.
Positions (direct):
Tb: 0.0000 0.0000 0.0000  6 O 2.30
Tb: 0.0000 0.0000 0.5000  6 O 2.30
Tb: 0.0000 0.5000 0.0000  6 O 2.30
Tb: 0.0000 0.5000 0.5000  6 O 2.30
Tb: 0.1250 0.7500 0.8750  4 O 2.14
Tb: 0.1250 0.8750 0.2500  4 O 2.14
Tb: 0.2500 0.1250 0.8750  4 O 2.14
Tb: 0.2500 0.6250 0.3750  4 O 2.14
Tb: 0.3750 0.2500 0.6250  4 O 2.14
Tb: 0.3750 0.6250 0.7500  4 O 2.14
Tb: 0.5000 0.0000 0.0000  6 O 2.30
Tb: 0.5000 0.0000 0.5000  6 O 2.30
Tb: 0.5000 0.5000 0.0000  6 O 2.30
Tb: 0.5000 0.5000 0.5000  6 O 2.30
Tb: 0.6250 0.3750 0.2500  4 O 2.14
Tb: 0.6250 0.7500 0.3750  4 O 2.14
Tb: 0.7500 0.3750 0.6250  4 O 2.14
Tb: 0.7500 0.8750 0.1250  4 O 2.14
Tb: 0.8750 0.1250 0.7500  4 O 2.14
Tb: 0.8750 0.2500 0.1250  4 O 2.14
Pr: 0.1250 0.2500 0.3750  8 O 2.59-2.61
Pr: 0.1250 0.3750 0.7500  8 O 2.59-2.61
Pr: 0.2500 0.3750 0.1250  8 O 2.59-2.61
Pr: 0.2500 0.8750 0.6250  8 O 2.59-2.61
Pr: 0.3750 0.1250 0.2500  8 O 2.59-2.61
Pr: 0.3750 0.7500 0.1250  8 O 2.59-2.61
Pr: 0.6250 0.2500 0.8750  8 O 2.59-2.61
Pr: 0.6250 0.8750 0.7500  8 O 2.59-2.61
Pr: 0.7500 0.1250 0.3750  8 O 2.59-2.61
Pr: 0.7500 0.6250 0.8750  8 O 2.59-2.61
Pr: 0.8750 0.6250 0.2500  8 O 2.59-2.61
Pr: 0.8750 0.7500 0.6250  8 O 2.59-2.61
O: 0.0411 0.2162 0.1299  2 Tb 2.14-2.30
O: 0.0411 0.3250 0.9112  2 Tb 2.14-2.30
O: 0.0863 0.7162 0.6750  2 Tb 2.14-2.30
O: 0.0863 0.8701 0.4112  2 Tb 2.14-2.30
O: 0.0888 0.6299 0.4137  2 Tb 2.14-2.30
O: 0.0888 0.9589 0.6750  2 Tb 2.14-2.30
O: 0.1299 0.0411 0.2162  2 Tb 2.14-2.30
O: 0.1299 0.5888 0.9137  2 Tb 2.14-2.30
O: 0.1750 0.2162 0.5863  2 Tb 2.14-2.30
O: 0.1750 0.4589 0.5888  2 Tb 2.14-2.30
O: 0.2162 0.1299 0.0411  2 Tb 2.14-2.30
O: 0.2162 0.5863 0.1750  2 Tb 2.14-2.30
O: 0.2838 0.3250 0.9137  2 Tb 2.14-2.30
O: 0.2838 0.4589 0.3701  2 Tb 2.14-2.30
O: 0.3250 0.9112 0.0411  2 Tb 2.14-2.30
O: 0.3250 0.9137 0.2838  2 Tb 2.14-2.30
O: 0.3701 0.2838 0.4589  2 Tb 2.14-2.30
O: 0.3701 0.5863 0.9112  2 Tb 2.14-2.30
O: 0.4112 0.0863 0.8701  2 Tb 2.14-2.30
O: 0.4112 0.8250 0.5411  2 Tb 2.14-2.30
O: 0.4137 0.0888 0.6299  2 Tb 2.14-2.30
O: 0.4137 0.8250 0.7838  2 Tb 2.14-2.30
O: 0.4589 0.3701 0.2838  2 Tb 2.14-2.30
O: 0.4589 0.5888 0.1750  2 Tb 2.14-2.30
O: 0.5411 0.4112 0.8250  2 Tb 2.14-2.30
O: 0.5411 0.6299 0.7162  2 Tb 2.14-2.30
O: 0.5863 0.1750 0.2162  2 Tb 2.14-2.30
O: 0.5863 0.9112 0.3701  2 Tb 2.14-2.30
O: 0.5888 0.1750 0.4589  2 Tb 2.14-2.30
O: 0.5888 0.9137 0.1299  2 Tb 2.14-2.30
O: 0.6299 0.4137 0.0888  2 Tb 2.14-2.30
O: 0.6299 0.7162 0.5411  2 Tb 2.14-2.30
O: 0.6750 0.0863 0.7162  2 Tb 2.14-2.30
O: 0.6750 0.0888 0.9589  2 Tb 2.14-2.30
O: 0.7162 0.5411 0.6299  2 Tb 2.14-2.30
O: 0.7162 0.6750 0.0863  2 Tb 2.14-2.30
O: 0.7838 0.4137 0.8250  2 Tb 2.14-2.30
O: 0.7838 0.8701 0.9589  2 Tb 2.14-2.30
O: 0.8250 0.5411 0.4112  2 Tb 2.14-2.30
O: 0.8250 0.7838 0.4137  2 Tb 2.14-2.30
O: 0.8701 0.4112 0.0863  2 Tb 2.14-2.30
O: 0.8701 0.9589 0.7838  2 Tb 2.14-2.30
O: 0.9112 0.0411 0.3250  2 Tb 2.14-2.30
O: 0.9112 0.3701 0.5863  2 Tb 2.14-2.30
O: 0.9137 0.1299 0.5888  2 Tb 2.14-2.30
O: 0.9137 0.2838 0.3250  2 Tb 2.14-2.30
O: 0.9589 0.6750 0.0888  2 Tb 2.14-2.30
O: 0.9589 0.7838 0.8701  2 Tb 2.14-2.30

***

[3]
Here is an optimized crystal structure of Sn4SbTe2 from the Alexandria database. Energies are from PBE-GGA.

space-group type = I4/mmm
formation energy without anion corrections = 0.294 eV per atom
magnetic moment = 0.000 μB/atom

Unit cell a=9.6997 b=9.6997 c=9.6997 alpha=146.33 beta=146.33 gamma=48.36
With the nearest neighbours (Å) after each atom.
Positions (direct):
Sn: 0.0000 0.5000 0.5000  2 Sb 2.81
Sn: 0.2406 0.2406 0.0000  1 Te 2.85
Sn: 0.5000 0.0000 0.5000  2 Sb 2.81
Sn: 0.7594 0.7594 0.0000  1 Te 2.85
Sb: 0.0000 0.0000 0.0000  4 Sn 2.81
Te: 0.4016 0.4016 0.0000  1 Sn 2.85
Te: 0.5984 0.5984 0.0000  1 Sn 2.85

***

[4]
Here is an optimized crystal structure of BiHF2 from the Alexandria database. Energies are from PBE-GGA.

energy relative to the lowest polymorph listed for this composition = 285 meV/atom
space-group type = Fm-3m
magnetic moment = 0.000 μB/atom

Unit cell a=4.0918 b=4.0918 c=4.0918 alpha=60.00 beta=60.00 gamma=60.00
With the nearest neighbours (Å) after each atom.
Positions (direct):
Bi: 0.0000 0.0000 0.0000  8 F 2.51
H: 0.5000 0.5000 0.5000  8 F 2.51
F: 0.2500 0.2500 0.2500  4 H 2.51, 4 Bi 2.51
F: 0.7500 0.7500 0.7500  4 H 2.51, 4 Bi 2.51

***

[5]
Here is an optimized crystal structure of Dy3ThTc from the Alexandria database. Energies are from PBE-GGA.

energy relative to the lowest polymorph listed for this composition = 0 meV/atom
DFT formation energy = -73 meV per atom
space-group type = Cm
magnetic moment = 0.000 μB/atom

Unit cell a=6.3028 b=6.3028 c=12.9848 alpha=111.94 beta=111.94 gamma=36.34
With the nearest neighbours (Å) after each atom.
Positions (direct):
Dy: 0.0000 0.0000 0.0000  2 Tc 3.02
Dy: 0.0224 0.0224 0.3773  1 Tc 3.04
Dy: 0.3512 0.3512 0.4733  2 Tc 2.96
Dy: 0.4667 0.4667 0.7518  3 Tc 2.95-3.17
Dy: 0.6574 0.6574 0.2357  1 Tc 3.36, 3 Th 3.43-3.55, 6 Dy 3.49-3.62
Dy: 0.6964 0.6964 0.6093  2 Tc 2.81
Th: 0.2280 0.2280 0.8539  3 Tc 2.80-3.08
Th: 0.3370 0.3370 0.1464  2 Tc 2.90
Tc: 0.0308 0.0308 0.6147  7 Dy 2.81-3.04, 1 Th 3.08
Tc: 0.6868 0.6868 0.9888  4 Th 2.80-2.90, 2 Dy 3.02

***

[6]
Here is an optimized crystal structure of Nd2FeCu from the Alexandria database. Energies are from PBE-GGA.

energy relative to the lowest polymorph listed for this composition = 29 meV/atom
DFT formation energy = 101 meV per atom
space-group type = Fm-3m
magnetic moment = 0.286 μB/atom

Unit cell a=5.0066 b=5.0066 c=5.0066 alpha=60.00 beta=60.00 gamma=60.00
With the nearest neighbours (Å) after each atom.
Positions (direct):
Nd: 0.2500 0.2500 0.2500  4 Fe 3.07, 4 Cu 3.07
Nd: 0.7500 0.7500 0.7500  4 Cu 3.07, 4 Fe 3.07
Fe: 0.0000 0.0000 0.0000  8 Nd 3.07
Cu: 0.5000 0.5000 0.5000  8 Nd 3.07

***

Number 1: total DFT energy (no corrections) -15.5 eV per cell. Number 2: total DFT energy (no corrections) -653.3 eV per cell. Number 3: total DFT energy (no corrections) -24.4 eV per cell. Number 4: total DFT energy (no corrections) -15.4 eV per cell. Number 5: total DFT energy (no corrections) -63.9 eV per cell. Number 6: total DFT energy (no corrections) -21.7 eV per cell.